Record 1
A geometry-optimized In2CuCl8 structure. Source: the Alexandria database, functional GGA-PBE.

The value obtained for the formation energy from raw total energies is -0.9093 eV per atom. The energy above the most stable polymorph in this dataset comes out at 0.000 eV per atom.

The structure belongs to space group C2/m (No. 12); the cell edges are 13.801, 7.439 and 6.649 Å and the angles 90.00°, 110.73° and 90.00°. The distinct sites, in fractional coordinates, are In at (0.000, 0.249, 0.000), Cu at (0.000, 0.000, 0.500), Cl at (0.093, 0.224, 0.734), Cl at (0.122, 0.500, 0.202) and Cl at (0.123, 0.000, 0.227).

---

Record 2
A geometry-optimized InCuCl2 structure. Source: the Alexandria database, functional GGA-PBE.

The value obtained for the formation energy from raw total energies is -0.5070 eV per atom. The energy above the most stable polymorph in this dataset comes out at 0.086 eV per atom.

The structure belongs to space group C2/m (No. 12); the cell edges are 8.662, 3.540 and 7.549 Å and the angles 90.00°, 115.67° and 90.00°. The distinct sites, in fractional coordinates, are In at (0.000, 0.000, 0.000), Cu at (0.000, 0.500, 0.500) and Cl at (0.173, 0.000, 0.706).

---

Record 3
A geometry-optimized In2Cu2Cl structure. Source: the Alexandria database, functional GGA-PBE.

The value obtained for the formation energy from raw total energies is -0.0378 eV per atom. The energy above the most stable polymorph in this dataset comes out at 0.009 eV per atom.

The structure belongs to space group P4/mbm (No. 127); the cell edges are 7.780, 7.780 and 3.243 Å and the angles 90.00°, 90.00° and 90.00°. The distinct sites, in fractional coordinates, are In at (0.185, 0.315, 0.000), Cu at (0.112, 0.612, 0.500) and Cl at (0.000, 0.000, 0.500).

---

Record 4
A geometry-optimized In2CuCl structure. Source: the Alexandria database, functional GGA-PBE.

The value obtained for the formation energy from raw total energies is -0.0108 eV per atom. The energy above the most stable polymorph in this dataset comes out at 0.185 eV per atom.

The structure belongs to space group Fm-3m (No. 225); the cell edges are 7.249, 7.249 and 7.249 Å and the angles 90.00°, 90.00° and 90.00°. The distinct sites, in fractional coordinates, are In at (0.250, 0.250, 0.250), Cu at (0.000, 0.000, 0.000) and Cl at (0.000, 0.000, 0.500).

---

Record 5
A geometry-optimized In2CuCl structure. Source: the Alexandria database, functional GGA-PBE.

The value obtained for the formation energy from raw total energies is -0.1745 eV per atom. The energy above the most stable polymorph in this dataset comes out at 0.021 eV per atom.

The structure belongs to space group P4mm (No. 99); the cell edges are 3.755, 3.755 and 7.393 Å and the angles 90.00°, 90.00° and 90.00°. The distinct sites, in fractional coordinates, are In at (0.000, 0.000, 0.000), In at (0.500, 0.500, 0.405), Cu at (0.500, 0.500, 0.046) and Cl at (0.000, 0.000, 0.607).

---

Record 6
A geometry-optimized InCuCl2 structure. Source: the Alexandria database, functional GGA-PBE.

The value obtained for the formation energy from raw total energies is -0.1805 eV per atom. The energy above the most stable polymorph in this dataset comes out at 0.412 eV per atom.

The structure belongs to space group Fm-3m (No. 225); the cell edges are 7.133, 7.133 and 7.133 Å and the angles 90.00°, 90.00° and 90.00°. The distinct sites, in fractional coordinates, are In at (0.000, 0.000, 0.000), Cu at (0.000, 0.000, 0.500) and Cl at (0.250, 0.250, 0.250).